(1)
Material: Ba2BeSi
Method: DFT, PBE
State: relaxed

a = 9.411 Å, b = 9.411 Å, c = 9.411 Å
α = 27.09°, β = 27.09°, γ = 27.09°
Element x y z (fractional)
Ba 0.004 0.004 0.004
Ba 0.496 0.496 0.496
Be 0.250 0.250 0.250
Si 0.750 0.750 0.750

**Distance to the lowest polymorph of the same formula**: 2.73 eV/f.u.
**Calculated volume**: 38.14 Å³ per atom
**Energy relative to the elements, uncorrected**: 529 meV per atom
**SG**: No. 166

(2)
Material: Rb2MgTl6In
Method: DFT, PBE
State: relaxed

a = 7.812 Å, b = 7.812 Å, c = 14.568 Å
α = 74.45°, β = 74.45°, γ = 60.00°
Element x y z (fractional)
Mg 0.422 0.422 0.735
Mg 0.578 0.578 0.265
Tl 0.057 0.645 0.653
Tl 0.355 0.355 0.347
Tl 0.355 0.943 0.347
Tl 0.943 0.355 0.347
Tl 0.202 0.767 0.830
Tl 0.767 0.202 0.830
Tl 0.645 0.057 0.653
Tl 0.202 0.202 0.830
Tl 0.233 0.798 0.170
Tl 0.798 0.233 0.170
Tl 0.798 0.798 0.170
Tl 0.645 0.645 0.653
Rb 0.689 0.689 0.933
Rb 0.311 0.311 0.067
Rb 0.862 0.862 0.413
Rb 0.138 0.138 0.587
In 0.000 0.000 0.000
In 0.500 0.500 0.500

**Calculated volume**: 36.61 Å³ per atom
**Formation enthalpy at 0 K**: 0.004 eV per atom
**SG**: No. 166

Across the entries above, mass density takes the values 3.39 6.97 g/cm³, respectively.